{"formula": "NaMnH3O3", "functional": "PBE+U", "state": "optimized geometry", "spacegroup": "No. 106", "dft_energy_ev_per_fu": -43.90, "cell": [[5.922, 0.000, 0.000], [0.000, 11.490, 0.000], [0.000, 0.000, 11.490]], "species": ["Na", "Na", "Na", "Na", "Na", "Na", "Na", "Na", "Mn", "Mn", "Mn", "Mn", "Mn", "Mn", "Mn", "Mn", "H", "H", "H", "H", "H", "H", "H", "H", "H", "H", "H", "H", "H", "H", "H", "H", "H", "H", "H", "H", "H", "H", "H", "H", "O", "O", "O", "O", "O", "O", "O", "O", "O", "O", "O", "O", "O", "O", "O", "O", "O", "O", "O", "O", "O", "O", "O", "O"], "frac_coords": [[0.517, 0.102, 0.086], [0.017, 0.914, 0.102], [0.017, 0.414, 0.398], [0.517, 0.602, 0.414], [0.517, 0.398, 0.586], [0.017, 0.586, 0.602], [0.017, 0.086, 0.898], [0.517, 0.898, 0.914], [0.029, 0.288, 0.075], [0.529, 0.425, 0.212], [0.529, 0.925, 0.288], [0.029, 0.788, 0.425], [0.029, 0.212, 0.575], [0.529, 0.075, 0.712], [0.529, 0.575, 0.788], [0.029, 0.712, 0.925], [0.689, 0.772, 0.794], [0.443, 0.634, 0.159], [0.623, 0.817, 0.105], [0.189, 0.706, 0.728], [0.943, 0.659, 0.134], [0.123, 0.105, 0.183], [0.123, 0.605, 0.317], [0.943, 0.159, 0.366], [0.189, 0.206, 0.772], [0.623, 0.317, 0.395], [0.443, 0.134, 0.341], [0.689, 0.272, 0.706], [0.689, 0.728, 0.294], [0.443, 0.866, 0.659], [0.623, 0.683, 0.605], [0.189, 0.794, 0.228], [0.943, 0.841, 0.634], [0.123, 0.395, 0.683], [0.123, 0.895, 0.817], [0.943, 0.341, 0.866], [0.189, 0.294, 0.272], [0.623, 0.183, 0.895], [0.443, 0.366, 0.841], [0.689, 0.228, 0.206], [0.197, 0.861, 0.282], [0.121, 0.111, 0.099], [0.074, 0.700, 0.101], [0.621, 0.901, 0.111], [0.697, 0.218, 0.639], [0.574, 0.601, 0.200], [0.574, 0.101, 0.300], [0.697, 0.718, 0.861], [0.621, 0.401, 0.389], [0.074, 0.200, 0.399], [0.121, 0.611, 0.401], [0.197, 0.361, 0.218], [0.197, 0.639, 0.782], [0.121, 0.389, 0.599], [0.074, 0.800, 0.601], [0.621, 0.599, 0.611], [0.697, 0.282, 0.139], [0.574, 0.899, 0.700], [0.574, 0.399, 0.800], [0.697, 0.782, 0.361], [0.621, 0.099, 0.889], [0.074, 0.300, 0.899], [0.121, 0.889, 0.901], [0.197, 0.139, 0.718]]}